Record 1
# MnAu2Se, optimized geometry, DFT PBE
data_MnAu2Se
_cell_length_a 3.3612
_cell_length_b 3.3612
_cell_length_c 23.4250
_cell_angle_alpha 90.00
_cell_angle_beta 90.00
_cell_angle_gamma 120.00
_symmetry_space_group_name_H-M 'R -3 m'
_symmetry_Int_Tables_number 166
_symmetry_space_group_name_Hall '-R 3 2"'
loop_
_atom_site_label
_atom_site_fract_x
_atom_site_fract_y
_atom_site_fract_z
Mn1 0.0000 0.0000 0.0000
Au1 0.0000 0.0000 0.2555
Se1 0.0000 0.0000 0.5000
# * total magnetic moment: 0.8831 μB/atom
# * E: -4.64 eV per atom
# * ΔE_f (raw): 0.1585 eV per atom
# * N(E_F): 1.82 states/eV/f.u.


Record 2
# BeCr2Fe, optimized geometry, DFT PBE
data_BeCr2Fe
_cell_length_a 6.253
_cell_length_b 6.253
_cell_length_c 4.619
_cell_angle_alpha 90.00
_cell_angle_beta 90.00
_cell_angle_gamma 90.00
_symmetry_space_group_name_H-M 'I -4 2 d'
_symmetry_Int_Tables_number 122
_symmetry_space_group_name_Hall 'I -4 2bw'
loop_
_atom_site_label
_atom_site_fract_x
_atom_site_fract_y
_atom_site_fract_z
Be1 0.000 0.000 0.000
Cr1 0.229 0.750 0.625
Fe1 0.000 0.000 0.500
# * total magnetic moment: 0.0000 μB/atom
# * E: -7.28 eV per atom
# * energy of formation from the pure elements: 2.31 eV per formula unit
# * N(E_F): 3.88 states/eV/f.u.